{
  "formula": "RbYTmSe3",
  "functional": "PBE",
  "state": "relaxed",
  "vol_a3_per_cell": 389.3,
  "magmom_total_mub_per_cell": 0.296,
  "space_group": "Cmcm (63)",
  "final_energy_ev_per_atom": -5.240,
  "rho_g_cm3": 4.95,
  "lattice_angstrom": [[4.1052, 4.9621, 5.0669], [-5.8336, -0.8889, -5.6857], [-7.4383, -1.9507, 7.9368]],
  "species": ["Se", "Se", "Se", "Se", "Se", "Se", "Rb", "Rb", "Y", "Y", "Tm", "Tm"],
  "frac_coords": [[0.3807, 0.6193, 0.4623], [0.3807, 0.6193, 0.0377], [0.6193, 0.3807, 0.9623], [0.0648, 0.9352, 0.2500], [0.9352, 0.0648, 0.7500], [0.6193, 0.3807, 0.5377], [0.7386, 0.2614, 0.2500], [0.2614, 0.7386, 0.7500], [0.5332, 0.4668, 0.7500], [0.4668, 0.5332, 0.2500], [0.0000, 0.0000, 0.0000], [0.0000, 0.0000, 0.5000]]
}